(1)
The following is a DFT calculation (PBE-GGA) of Si2Pd8Au after structural relaxation.

Geometry as POSCAR:
```
Si2Pd8Au
1.0
4.771 0.000 0.000
-0.981 5.596 0.000
-1.577 -2.947 6.392
Si Pd Au
2 8 1
Cartesian
0.000 0.000 0.000
-0.367 0.117 4.055
-0.957 3.332 3.526
0.008 -1.149 6.118
1.220 -0.198 2.159
-0.152 1.732 5.932
2.391 -1.464 4.702
2.137 1.267 4.346
3.588 0.967 1.869
3.851 3.324 0.588
1.427 2.877 2.161
```

Values from the calculation:
- E_tot: -5.446 eV/atom
- DOS at the Fermi energy: 0.400 states/eV/atom
- Energy relative to the elements, uncorrected: -0.385 eV per atom



(2)
The following is a DFT calculation (PBE-GGA) of SiPd8Au2 after structural relaxation.

Geometry as POSCAR:
```
SiPd8Au2
1.0
3.548 -6.308 0.000
3.548 6.308 0.000
-2.633 0.000 4.098
Si Pd Au
1 8 2
Cartesian
0.000 0.000 0.000
-0.090 1.342 2.584
3.548 3.955 0.000
-0.090 -1.342 2.584
2.134 0.000 0.751
2.329 0.000 3.347
4.553 1.342 1.513
3.548 -3.955 0.000
4.553 -1.342 1.513
2.232 2.551 2.049
2.232 -2.551 2.049
```

Values from the calculation:
- Offset from the most stable computed form: 154 meV/atom
- E_tot: -4.909 eV/atom
- DOS at the Fermi energy: 1.022 states/eV/atom
- Energy relative to the elements, uncorrected: -0.044 eV per atom



(3)
The following is a DFT calculation (PBE-GGA) of Si2PdAu after structural relaxation.

Geometry as POSCAR:
```
Si2PdAu
1.0
0.000 3.164 3.164
3.164 0.000 3.164
3.164 3.164 0.000
Si Pd Au
2 1 1
Cartesian
1.582 1.582 1.582
4.746 4.746 4.746
0.000 0.000 0.000
3.164 3.164 3.164
```

Values from the calculation:
- Offset from the most stable computed form: 109 meV/atom
- E_tot: -4.739 eV/atom
- DOS at the Fermi energy: 0.606 states/eV/atom
- Energy relative to the elements, uncorrected: 0.090 eV per atom



(4)
The following is a DFT calculation (PBE-GGA) of SiPd6Au2 after structural relaxation.

Geometry as POSCAR:
```
SiPd6Au2
1.0
2.896 0.000 0.000
0.000 6.473 3.815
0.000 -6.473 3.815
Si Pd Au
1 6 2
Cartesian
0.000 0.000 0.000
0.000 -4.203 4.969
0.000 0.000 4.496
0.000 4.203 4.969
1.448 0.000 1.956
1.448 -1.526 6.398
1.448 1.526 6.398
1.448 -2.270 3.603
1.448 2.270 3.603
```

Values from the calculation:
- E_tot: -5.061 eV/atom
- DOS at the Fermi energy: 0.352 states/eV/atom
- Energy relative to the elements, uncorrected: -0.268 eV per atom



(5)
The following is a DFT calculation (PBE-GGA) of Sm3Si2Pd9Au after structural relaxation.

Geometry as POSCAR:
```
Sm3Si2Pd9Au
1.0
5.732 0.000 0.000
-2.866 4.964 0.000
0.000 0.000 10.864
Sm Si Pd Au
3 2 9 1
Cartesian
0.000 0.000 0.000
0.000 3.309 6.496
2.866 1.655 4.368
0.000 3.309 1.709
2.866 1.655 9.156
-1.433 2.482 0.000
0.000 1.616 3.272
-1.467 4.156 3.272
1.399 0.808 7.592
2.866 0.000 0.000
1.433 2.482 0.000
1.467 4.156 3.272
4.332 0.808 7.592
2.866 3.348 7.592
0.000 0.000 5.432
```

Values from the calculation:
- E_tot: -5.612 eV/atom
- DOS at the Fermi energy: 0.334 states/eV/atom
- Energy relative to the elements, uncorrected: -0.611 eV per atom



(6)
The following is a DFT calculation (PBE-GGA) of Sm2SiPd4Au2 after structural relaxation.

Geometry as POSCAR:
```
Sm2SiPd4Au2
1.0
-3.105 3.105 4.521
3.105 -3.105 4.521
3.105 3.105 -4.521
Sm Si Pd Au
2 1 4 2
Cartesian
3.105 0.000 2.260
0.000 3.105 2.260
0.000 0.000 0.000
1.670 1.670 0.000
1.435 -1.435 4.521
-1.435 1.435 4.521
1.435 1.435 4.521
0.000 0.000 2.493
0.000 0.000 6.549
```

Values from the calculation:
- E_tot: -5.414 eV/atom
- DOS at the Fermi energy: 0.403 states/eV/atom
- Energy relative to the elements, uncorrected: -0.727 eV per atom



(7)
The following is a DFT calculation (PBE-GGA) of Sm2Si4PdAu3 after structural relaxation.

Geometry as POSCAR:
```
Sm2Si4PdAu3
1.0
4.262 0.000 0.000
0.000 4.262 0.000
0.000 0.000 10.416
Sm Si Pd Au
2 4 1 3
Cartesian
0.000 2.131 2.537
2.131 0.000 7.879
0.000 0.000 5.208
0.000 2.131 9.059
2.131 0.000 1.356
2.131 2.131 5.208
2.131 2.131 0.000
0.000 0.000 0.000
0.000 2.131 6.600
2.131 0.000 3.816
```

Values from the calculation:
- E_tot: -5.250 eV/atom
- DOS at the Fermi energy: 0.430 states/eV/atom
- Energy relative to the elements, uncorrected: -0.634 eV per atom



(8)
The following is a DFT calculation (PBE-GGA) of SmSi2Pd5Au after structural relaxation.

Geometry as POSCAR:
```
SmSi2Pd5Au
1.0
4.129 0.000 0.000
0.000 4.129 0.000
0.000 0.000 9.031
Sm Si Pd Au
1 2 5 1
Cartesian
0.000 0.000 0.000
2.064 2.064 3.375
2.064 2.064 5.656
0.000 2.064 2.184
0.000 2.064 6.847
2.064 0.000 2.184
2.064 0.000 6.847
2.064 2.064 0.000
0.000 0.000 4.516
```

Values from the calculation:
- E_tot: -5.554 eV/atom
- DOS at the Fermi energy: 0.355 states/eV/atom
- Energy relative to the elements, uncorrected: -0.576 eV per atom



(9)
The following is a DFT calculation (PBE-GGA) of Sr2Si3Pd12Au after structural relaxation.

Geometry as POSCAR:
```
Sr2Si3Pd12Au
1.0
4.219 2.436 5.990
-4.219 2.436 5.990
0.000 -4.872 5.990
Sr Si Pd Au
2 3 12 1
Cartesian
0.000 0.000 1.912
0.000 0.000 16.059
-2.109 -1.218 5.990
-2.109 1.218 11.981
0.000 2.436 5.990
-2.183 -1.260 8.273
0.000 -2.130 5.451
-1.845 1.065 5.451
0.000 -2.520 9.699
-2.183 1.260 9.699
-1.845 -1.065 12.520
1.845 1.065 5.451
2.183 -1.260 8.273
0.000 2.520 8.273
1.845 -1.065 12.520
0.000 2.130 12.520
2.183 1.260 9.699
0.000 0.000 8.986
```

Values from the calculation:
- E_tot: -4.988 eV/atom
- DOS at the Fermi energy: 0.343 states/eV/atom
- Energy relative to the elements, uncorrected: -0.253 eV per atom



(10)
The following is a DFT calculation (PBE-GGA) of SrSiPdAu2 after structural relaxation.

Geometry as POSCAR:
```
SrSiPdAu2
1.0
4.859 0.000 0.000
0.000 4.859 0.000
0.000 0.000 4.764
Sr Si Pd Au
1 1 1 2
Cartesian
0.000 0.000 0.000
2.430 2.430 2.382
2.430 2.430 0.000
0.000 2.430 2.382
2.430 0.000 2.382
```

Values from the calculation:
- E_tot: -4.270 eV/atom
- DOS at the Fermi energy: 0.242 states/eV/atom
- Energy relative to the elements, uncorrected: -0.499 eV per atom



(11)
The following is a DFT calculation (PBE-GGA) of SrSiPd2Au after structural relaxation.

Geometry as POSCAR:
```
SrSiPd2Au
1.0
4.726 0.000 0.000
0.000 4.726 0.000
0.000 0.000 4.823
Sr Si Pd Au
1 1 2 1
Cartesian
0.000 0.000 0.000
2.363 2.363 2.412
0.000 2.363 2.412
2.363 0.000 2.412
2.363 2.363 0.000
```

Values from the calculation:
- E_tot: -4.691 eV/atom
- DOS at the Fermi energy: 0.418 states/eV/atom
- Energy relative to the elements, uncorrected: -0.537 eV per atom